Record 1
# TaTcMo2 | the Alexandria database | PBE | optimized geometry
# Calculated formation energy   -178 meV per atom
# Polymorph energy (0 for the lowest one)   0 meV/atom
# Theoretical density   12.2 Mg/m³
data_TaTcMo2
_chemical_formula_sum 'Ta1 Tc1 Mo2'
_cell_length_a 3.178
_cell_length_b 4.461
_cell_length_c 4.523
_cell_angle_alpha 90.00
_cell_angle_beta 90.00
_cell_angle_gamma 90.00
_symmetry_space_group_name_H-M 'P m m m'
_symmetry_Int_Tables_number 47
_symmetry_space_group_name_Hall '-P 2 2'
loop_
_atom_site_label
_atom_site_type_symbol
_atom_site_fract_x
_atom_site_fract_y
_atom_site_fract_z
Ta1 Ta 0.000 0.000 0.000
Tc1 Tc 0.500 0.500 0.000
Mo1 Mo 0.000 0.500 0.500
Mo2 Mo 0.500 0.000 0.500

Record 2
# K2CaFe | the Alexandria database | PBE | optimized geometry
# Calculated formation energy   875 meV per atom
# Polymorph energy (0 for the lowest one)   296 meV/atom
# Theoretical density   1.7 Mg/m³
data_K2CaFe
_chemical_formula_sum 'K2 Ca1 Fe1'
_cell_length_a 4.554
_cell_length_b 4.554
_cell_length_c 8.070
_cell_angle_alpha 90.00
_cell_angle_beta 90.00
_cell_angle_gamma 90.00
_symmetry_space_group_name_H-M 'P 4/m m m'
_symmetry_Int_Tables_number 123
_symmetry_space_group_name_Hall '-P 4 2'
loop_
_atom_site_label
_atom_site_type_symbol
_atom_site_fract_x
_atom_site_fract_y
_atom_site_fract_z
K1 K 0.000 0.000 0.210
Ca1 Ca 0.500 0.500 0.500
Fe1 Fe 0.500 0.500 0.000

Record 3
# Ho2NbPd9 | the Alexandria database | PBE | optimized geometry
# Calculated formation energy   -759 meV per atom
# Theoretical density   11.4 Mg/m³
data_Ho2NbPd9
_chemical_formula_sum 'Ho2 Nb1 Pd9'
_cell_length_a 4.059
_cell_length_b 4.059
_cell_length_c 12.221
_cell_angle_alpha 90.00
_cell_angle_beta 90.00
_cell_angle_gamma 90.00
_symmetry_space_group_name_H-M 'P 4/m m m'
_symmetry_Int_Tables_number 123
_symmetry_space_group_name_Hall '-P 4 2'
loop_
_atom_site_label
_atom_site_type_symbol
_atom_site_fract_x
_atom_site_fract_y
_atom_site_fract_z
Ho1 Ho 0.000 0.000 0.166
Nb1 Nb 0.000 0.000 0.500
Pd1 Pd 0.000 0.500 0.000
Pd2 Pd 0.000 0.500 0.345
Pd3 Pd 0.500 0.500 0.173
Pd4 Pd 0.500 0.500 0.500

Record 4
# Cu2Ni8Rh | the Alexandria database | PBE | optimized geometry
# Calculated formation energy   234 meV per atom
# Polymorph energy (0 for the lowest one)   0 meV/atom
# Theoretical density   8.9 Mg/m³
data_Cu2Ni8Rh
_chemical_formula_sum 'Cu4 Ni16 Rh2'
_cell_length_a 6.540
_cell_length_b 12.361
_cell_length_c 4.312
_cell_angle_alpha 90.00
_cell_angle_beta 131.14
_cell_angle_gamma 90.00
_symmetry_space_group_name_H-M 'C 1 2/m 1'
_symmetry_Int_Tables_number 12
_symmetry_space_group_name_Hall '-C 2y'
loop_
_atom_site_label
_atom_site_type_symbol
_atom_site_fract_x
_atom_site_fract_y
_atom_site_fract_z
Cu1 Cu 0.000 0.184 0.000
Ni1 Ni 0.000 0.299 0.500
Ni2 Ni 0.007 0.000 0.762
Ni3 Ni 0.234 0.367 0.239
Rh1 Rh 0.000 0.500 0.500

| no. | spin magnetization (μB per atom) |
| --- | --- |
| 1 | 0.00 |
| 2 | 0.74 |
| 3 | 0.00 |
| 4 | 0.51 |